The following is a PBE+U calculation of crystalline NdY2MoO8 at its relaxed geometry, from the Alexandria database.

Computed properties:
DFT total energy (eV for the cell shown): -95.97
Space-group type: Cmmm, No. 65

a = 5.071 Å, b = 5.071 Å, c = 6.961 Å
α = 90.00°, β = 90.00°, γ = 90.45°
Each line ends with the local moment (μB).
Atoms (fractional coordinates):
Nd 0.000 0.000 0.500  0.01
Y 0.500 0.500 0.757  -0.01
Y 0.500 0.500 0.243  -0.01
Mo 0.000 0.000 0.000  -0.07
O 0.184 0.816 0.205  0.06
O 0.724 0.725 0.000  0.12
O 0.816 0.184 0.205  0.06
O 0.816 0.184 0.795  0.06
O 0.276 0.275 0.000  0.12
O 0.184 0.816 0.795  0.06
O 0.683 0.684 0.500  0.19
O 0.317 0.316 0.500  0.19